VASP calculation (GGA-PBE) on a relaxed SiSb2W crystal.

It has space group Cmmm (No. 65), with a = 4.8056 Å, b = 11.9339 Å, c = 3.4633 Å, α = 90.00°, β = 90.00° and γ = 90.00°. The inequivalent atoms are Si at (0.0000, 0.0000, 0.0000), Sb at (0.0000, 0.3228, 0.5000) and W at (0.0000, 0.5000, 0.0000).

For the raw formation energy, the calculation gives 423 meV/atom. As for the calculated total energy: -6.23 eV/atom. As for the total magnetic moment: 0.00 μB per formula unit.